1.
The following is a PBE-GGA calculation of a geometry-optimized LiNdGa4Ag2 structure, from the Alexandria database.

Computed properties:
Spin magnetization = 0.0 μB per cell
Formation energy = -0.302 eV per atom
Density = 7.09 Mg/m³

a b c (Å): 4.4902 4.4902 26.0046
angles (deg): 90.00 90.00 120.00
Last column: nearest neighbours and their distance in Å.
Space group R-3m (No. 166, hexagonal axes)
Inequivalent atoms, fractional coordinates:
1 Li 0.0000 0.0000 0.0000 [3 per cell]  8 Ga 2.73-2.80
2 Nd 0.0000 0.0000 0.5000 [3 per cell]  8 Ga 3.05-3.28
3 Ga 0.0000 0.0000 0.1050 [6 per cell]  1 Li 2.73, 3 Ag 2.76, 3 Nd 3.05
4 Ga 0.0000 0.0000 0.3740 [6 per cell]  4 Ag 2.69-2.83, 3 Li 2.80
5 Ag 0.0000 0.0000 0.2650 [6 per cell]  7 Ga 2.69-2.83

2.
The following is a PBE-GGA calculation of a geometry-optimized LiNdGaAg structure, from the Alexandria database.

Computed properties:
Spin magnetization = 0.0 μB per cell
Formation energy = -0.344 eV per atom
Density = 6.75 Mg/m³

a b c (Å): 6.8637 6.8637 6.8637
angles (deg): 90.00 90.00 90.00
Last column: nearest neighbours and their distance in Å.
Space group F-43m (No. 216)
Inequivalent atoms, fractional coordinates:
1 Li 0.0000 0.0000 0.0000 [4 per cell]  4 Nd 2.97, 4 Ag 2.97
2 Nd 0.2500 0.2500 0.2500 [4 per cell]  4 Li 2.97, 4 Ga 2.97
3 Ga 0.0000 0.0000 0.5000 [4 per cell]  4 Nd 2.97, 4 Ag 2.97
4 Ag 0.2500 0.2500 0.7500 [4 per cell]  4 Li 2.97, 4 Ga 2.97

3.
The following is a PBE-GGA calculation of a geometry-optimized LiGaNiAg2 structure, from the Alexandria database.

Computed properties:
Spin magnetization = 0.0 μB per cell
Formation energy = 0.643 eV per atom
Density = 6.88 Mg/m³

a b c (Å): 4.3603 4.3603 4.4594
angles (deg): 90.00 90.00 90.00
Last column: nearest neighbours and their distance in Å.
Space group P4/mmm (No. 123)
Inequivalent atoms, fractional coordinates:
1 Li 0.0000 0.0000 0.0000 [1 per cell]  4 Ag 2.18, 2 Ga 2.23
2 Ga 0.0000 0.0000 0.5000 [1 per cell]  2 Li 2.23
3 Ni 0.5000 0.5000 0.5000 [1 per cell]  4 Ga 3.08, 8 Ag 3.12
4 Ag 0.0000 0.5000 0.0000 [2 per cell]  2 Li 2.18

4.
The following is a PBE-GGA calculation of a geometry-optimized LiGaNiAg structure, from the Alexandria database.

Computed properties:
Spin magnetization = 0.0 μB per cell
Formation energy = -0.195 eV per atom
Density = 7.30 Mg/m³

a b c (Å): 6.0484 6.0484 6.0484
angles (deg): 90.00 90.00 90.00
Last column: nearest neighbours and their distance in Å.
Space group F-43m (No. 216)
Inequivalent atoms, fractional coordinates:
1 Li 0.0000 0.0000 0.0000 [4 per cell]  4 Ag 2.62, 4 Ni 2.62
2 Ga 0.0000 0.0000 0.5000 [4 per cell]  4 Ni 2.62, 4 Ag 2.62
3 Ni 0.2500 0.2500 0.2500 [4 per cell]  4 Li 2.62, 4 Ga 2.62
4 Ag 0.2500 0.2500 0.7500 [4 per cell]  4 Li 2.62, 4 Ga 2.62

5.
The following is a PBE-GGA calculation of a geometry-optimized LiGa2AgO4 structure, from the Alexandria database.

Computed properties:
Spin magnetization = 0.0 μB per cell
Density = 5.22 Mg/m³
Energy relative to the elements, uncorrected = -147 kJ per mole of atoms

a b c (Å): 4.4845 4.4845 10.0673
angles (deg): 90.00 90.00 90.00
Last column: nearest neighbours and their distance in Å.
Space group I-42m (No. 121)
Inequivalent atoms, fractional coordinates:
1 Li 0.0000 0.0000 0.0000 [2 per cell]  4 O 2.06
2 Ga 0.0000 0.5000 0.2500 [4 per cell]  4 O 1.89
3 Ag 0.0000 0.0000 0.5000 [2 per cell]  4 O 2.31
4 O 0.2233 0.2233 0.1490 [8 per cell]  2 Ga 1.89, 1 Li 2.06

6.
The following is a PBE-GGA calculation of a geometry-optimized LiGaAgPb structure, from the Alexandria database.

Computed properties:
Spin magnetization = 0.0 μB per cell
Formation energy = -0.066 eV per atom
Density = 7.90 Mg/m³

a b c (Å): 6.9058 6.9058 6.9058
angles (deg): 90.00 90.00 90.00
Last column: nearest neighbours and their distance in Å.
Space group F-43m (No. 216)
Inequivalent atoms, fractional coordinates:
1 Li 0.0000 0.0000 0.0000 [4 per cell]  4 Pb 2.99, 4 Ga 2.99
2 Ga 0.2500 0.2500 0.2500 [4 per cell]  4 Li 2.99, 4 Ag 2.99
3 Ag 0.0000 0.0000 0.5000 [4 per cell]  4 Pb 2.99, 4 Ga 2.99
4 Pb 0.2500 0.2500 0.7500 [4 per cell]  4 Li 2.99, 4 Ag 2.99